Compound: KTiSbRh2
Source: Alexandria via LeMat-Bulk
Functional: PBE
Structure: relaxed

Cell lengths 4.7541, 4.7541, 4.5869 Å; angles 90.00, 90.00, 90.00 degrees
Last column: nearest neighbours and their distance in Å.
Atoms (fractional coordinates):
1 K 0.0000 0.0000 0.0000  2 Ti 2.29, 4 Rh 2.38
2 Ti 0.0000 0.0000 0.5000  2 K 2.29
3 Sb 0.5000 0.5000 0.5000  8 Rh 3.30, 4 Ti 3.36
4 Rh 0.0000 0.5000 0.0000  2 K 2.38
5 Rh 0.5000 0.0000 0.0000  2 K 2.38

**Volume**: 103.7 Å³ per cell
**Raw formation energy**: 1.74 eV per atom
**Uncorrected energy**: -3.821 eV/atom